Here is crystalline YErScHg at its relaxed geometry from Alexandria. Energies are from GGA-PBE.

Geometry as extended XYZ:
```
4
Lattice="-1.129 3.880 -3.426 -3.710 3.590 1.192 1.398 4.992 1.096" Properties=species:S:1:pos:R:3 pbc="T T T"
Y -2.581 9.346 -0.854
Sc -1.720 6.231 -0.569
Hg 0.000 0.000 0.000
Er -0.860 3.115 -0.285
```

Crystal system: cubic
E_form: -80 meV/atom
Uncorrected energy: -4.495 eV per atom
Fermi-level density of states: 5.872 states/eV per cell
SG: F-43m

---

Here is crystalline Na2Ge2Pt at its relaxed geometry from Alexandria. Energies are from GGA-PBE.

Geometry as extended XYZ:
```
10
Lattice="-5.726 -2.539 1.595 -0.074 -3.318 -5.546 2.289 -3.767 2.223" Properties=species:S:1:pos:R:3 pbc="T T T"
Na 0.059 -4.601 -2.376
Na -2.814 -6.330 -2.346
Na -3.570 -5.022 0.648
Na -0.696 -3.294 0.618
Ge -2.151 -3.794 -4.213
Ge -4.997 -4.303 -2.146
Ge -3.649 -2.063 0.262
Ge -0.803 -1.553 -1.805
Pt 0.000 0.000 0.000
Pt -2.900 -2.928 -1.975
```

Crystal system: tetragonal
Relative energy among the computed polymorphs: 0 meV/atom
E_form: -357 meV/atom
Uncorrected energy: -3.940 eV per atom
Fermi-level density of states: 6.331 states/eV per cell
SG: P4/mbm

---

Here is crystalline SbTeMo2 at its relaxed geometry from Alexandria. Energies are from GGA-PBE.

Geometry as extended XYZ:
```
4
Lattice="-9.268 4.649 2.312 -8.157 4.266 5.302 -7.293 6.841 3.585" Properties=species:S:1:pos:R:3 pbc="T T T"
Mo -24.487 15.610 11.094
Mo -6.457 4.116 2.925
Sb -12.981 8.275 5.881
Te -17.869 11.391 8.096
```

Crystal system: trigonal
Relative energy among the computed polymorphs: 122 meV/atom
Energy relative to the elements, uncorrected: 243.7 meV/atom
Uncorrected energy: -6.988 eV per atom
Fermi-level density of states: 2.451 states/eV per cell
SG: R3m

---

Here is crystalline LaTb2Cr2C4 at its relaxed geometry from Alexandria. Energies are from GGA-PBE.

Geometry as extended XYZ:
```
9
Lattice="-3.429 -0.315 -0.158 2.384 -4.829 -4.515 -0.110 -1.847 6.052" Properties=species:S:1:pos:R:3 pbc="T T T"
La 0.000 0.000 0.000
Tb -1.270 -4.654 -0.761
Tb 0.116 -2.336 2.140
Cr 0.428 -3.247 -2.823
Cr -1.583 -3.743 4.202
C -1.430 -4.499 2.401
C 0.276 -2.491 -1.022
C 0.588 -5.103 -2.593
C -1.742 -1.887 3.972
```

Crystal system: monoclinic
E_form: 6 meV/atom
Uncorrected energy: -7.809 eV per atom
Fermi-level density of states: 7.100 states/eV per cell
SG: C2/m

---

Here is crystalline RbIn2NiHg at its relaxed geometry from Alexandria. Energies are from GGA-PBE.

Geometry as extended XYZ:
```
5
Lattice="5.092 0.000 0.000 0.000 5.092 0.000 0.000 0.000 5.344" Properties=species:S:1:pos:R:3 pbc="T T T"
Ni 0.000 0.000 0.000
Hg 0.000 0.000 2.672
Rb 2.546 2.546 2.672
In 0.000 2.546 0.000
In 2.546 0.000 0.000
```

Crystal system: tetragonal
E_form: -74 meV/atom
Uncorrected energy: -2.579 eV per atom
Fermi-level density of states: 2.489 states/eV per cell
SG: P4/mmm

---

Here is crystalline Mg2TlRe2 at its relaxed geometry from Alexandria. Energies are from GGA-PBE.

Geometry as extended XYZ:
```
10
Lattice="8.112 0.000 0.000 0.000 8.112 0.000 0.000 0.000 2.928" Properties=species:S:1:pos:R:3 pbc="T T T"
Re 3.231 7.287 0.000
Re 7.287 4.881 0.000
Re 4.881 0.825 0.000
Re 0.825 3.231 0.000
Tl 0.000 0.000 0.000
Tl 4.056 4.056 0.000
Mg 1.510 5.566 1.464
Mg 5.566 6.602 1.464
Mg 6.602 2.546 1.464
Mg 2.546 1.510 1.464
```

Crystal system: tetragonal
Relative energy among the computed polymorphs: 0 meV/atom
E_form: 562 meV/atom
Uncorrected energy: -5.528 eV per atom
Fermi-level density of states: 6.801 states/eV per cell
SG: P4/mbm

---

Here is crystalline K2LaFe at its relaxed geometry from Alexandria. Energies are from GGA-PBE.

Geometry as extended XYZ:
```
4
Lattice="3.514 -0.091 0.000 -1.292 3.269 0.000 0.000 0.000 12.995" Properties=species:S:1:pos:R:3 pbc="T T T"
Fe 1.111 1.589 9.746
K 0.000 0.000 12.489
K 0.000 0.000 7.003
La 1.111 1.589 3.249
```

Crystal system: orthorhombic
Relative energy among the computed polymorphs: 497 meV/atom
E_form: 951 meV/atom
Uncorrected energy: -2.945 eV per atom
Fermi-level density of states: 8.050 states/eV per cell
SG: Cmmm

---

Here is crystalline Ba7Ag2Pb2 at its relaxed geometry from Alexandria. Energies are from GGA-PBE.

Geometry as extended XYZ:
```
11
Lattice="7.951 -0.003 -1.043 0.004 8.381 0.004 -1.537 -0.002 7.871" Properties=species:S:1:pos:R:3 pbc="T T T"
Ba -0.767 2.246 3.936
Ba 3.978 6.132 -0.519
Ba 7.185 6.129 2.895
Ba 2.440 2.243 7.350
Ba 0.000 0.000 0.000
Ba 3.210 6.238 3.416
Ba 3.208 2.137 3.414
Ag 5.179 8.378 1.568
Ag 1.239 -0.003 5.263
Pb 5.333 4.186 5.676
Pb 1.085 4.189 1.154
```

Crystal system: orthorhombic
E_form: -207 meV/atom
Uncorrected energy: -2.623 eV per atom
Fermi-level density of states: 10.548 states/eV per cell
SG: Cmmm

---

Here is crystalline HoAlSiRh2 at its relaxed geometry from Alexandria. Energies are from GGA-PBE.

Geometry as extended XYZ:
```
10
Lattice="4.244 0.000 0.000 -2.122 6.210 0.000 0.000 0.000 6.937" Properties=species:S:1:pos:R:3 pbc="T T T"
Ho 0.000 4.938 5.203
Ho 2.122 1.272 1.734
Al 2.122 2.440 5.203
Al 0.000 3.770 1.734
Si 0.000 0.000 0.000
Si 0.000 0.000 3.469
Rh 0.000 2.199 6.626
Rh 2.122 4.011 0.311
Rh 0.000 2.199 3.780
Rh 2.122 4.011 3.158
```

Crystal system: orthorhombic
Energy relative to the elements, uncorrected: -725.4 meV/atom
Uncorrected energy: -6.415 eV per atom
Fermi-level density of states: 5.716 states/eV per cell
SG: Cmcm

---

Here is crystalline TaIrOs at its relaxed geometry from Alexandria. Energies are from GGA-PBE.

Geometry as extended XYZ:
```
6
Lattice="-0.905 2.073 2.970 -3.092 -2.214 0.603 4.153 -4.584 4.465" Properties=species:S:1:pos:R:3 pbc="T T T"
Ta -0.507 -2.253 1.418
Ta 1.568 -4.546 3.650
Ir 0.000 0.000 0.000
Ir 2.077 -2.292 2.232
Os -2.505 -2.323 3.204
Os 2.662 -2.402 4.834
```

Crystal system: orthorhombic
Relative energy among the computed polymorphs: 730 meV/atom
E_form: 387 meV/atom
Uncorrected energy: -10.261 eV per atom
Fermi-level density of states: 6.489 states/eV per cell
SG: Pmmm

---

Here is crystalline Li2CoW at its relaxed geometry from Alexandria. Energies are from GGA-PBE.

Geometry as extended XYZ:
```
4
Lattice="-2.005 1.505 -0.456 -1.459 -0.684 4.157 2.494 3.776 1.497" Properties=species:S:1:pos:R:3 pbc="T T T"
Co 0.139 3.243 2.973
Li 2.471 3.741 1.483
Li 1.271 1.924 0.763
W -1.108 1.354 2.225
```

Crystal system: orthorhombic
Relative energy among the computed polymorphs: 187 meV/atom
E_form: 463 meV/atom
Uncorrected energy: -5.508 eV per atom
Fermi-level density of states: 2.385 states/eV per cell
SG: Pmmm

---

Here is crystalline Ac2TbGd at its relaxed geometry from Alexandria. Energies are from GGA-PBE.

Geometry as extended XYZ:
```
4
Lattice="3.848 0.000 0.000 0.000 3.848 0.000 0.000 0.000 10.300" Properties=species:S:1:pos:R:3 pbc="T T T"
Ac 0.000 0.000 7.747
Ac 0.000 0.000 2.554
Gd 1.924 1.924 5.150
Tb 1.924 1.924 0.000
```

Crystal system: tetragonal
Relative energy among the computed polymorphs: 4 meV/atom
E_form: 41 meV/atom
Uncorrected energy: -6.691 eV per atom
Fermi-level density of states: 6.160 states/eV per cell
SG: P4/mmm

---

Here is crystalline SrMn3I at its relaxed geometry from Alexandria. Energies are from GGA-PBE.

Geometry as extended XYZ:
```
5
Lattice="-5.726 -1.651 1.427 -0.817 -2.094 -5.701 2.024 -5.517 1.736" Properties=species:S:1:pos:R:3 pbc="T T T"
I -2.259 -4.631 -1.269
Sr 0.000 0.000 0.000
Mn -0.408 -1.047 -2.850
Mn 1.012 -2.759 0.868
Mn -2.863 -0.826 0.713
```

Crystal system: cubic
Relative energy among the computed polymorphs: 668 meV/atom
Energy relative to the elements, uncorrected: 1671.4 meV/atom
Uncorrected energy: -4.477 eV per atom
Fermi-level density of states: 6.813 states/eV per cell
SG: Pm-3m

---

Here is crystalline ScMn2HPt at its relaxed geometry from Alexandria. Energies are from GGA-PBE.

Geometry as extended XYZ:
```
5
Lattice="3.838 0.000 0.000 0.000 3.838 0.000 0.000 0.000 4.280" Properties=species:S:1:pos:R:3 pbc="T T T"
Sc 0.000 0.000 2.140
H 0.000 0.000 0.000
Mn 0.000 1.919 0.000
Mn 1.919 0.000 0.000
Pt 1.919 1.919 2.140
```

Crystal system: tetragonal
Uncorrected energy: -7.183 eV per atom
Fermi-level density of states: 3.616 states/eV per cell
SG: P4/mmm

---

Here is crystalline SmPu2Tc at its relaxed geometry from Alexandria. Energies are from GGA-PBE.

Geometry as extended XYZ:
```
4
Lattice="-0.020 -3.906 -2.679 3.841 -2.765 -0.184 -0.436 -4.853 2.891" Properties=species:S:1:pos:R:3 pbc="T T T"
Tc 0.000 0.000 0.000
Sm 1.693 -5.762 0.014
Pu 0.964 -2.700 -0.258
Pu 2.422 -8.824 0.286
```

Crystal system: trigonal
Relative energy among the computed polymorphs: 163 meV/atom
E_form: 249 meV/atom
Uncorrected energy: -10.688 eV per atom
Fermi-level density of states: 12.883 states/eV per cell
SG: R-3m

---

Here is crystalline KOsRh2 at its relaxed geometry from Alexandria. Energies are from GGA-PBE.

Geometry as extended XYZ:
```
4
Lattice="-1.366 -0.473 3.238 0.043 -2.735 -0.382 7.435 -3.067 2.688" Properties=species:S:1:pos:R:3 pbc="T T T"
K 1.186 -1.687 2.196
Os 4.925 -4.589 3.349
Rh 6.855 -3.039 2.447
Rh 4.319 -2.930 1.394
```

Crystal system: monoclinic
Relative energy among the computed polymorphs: 71 meV/atom
E_form: 510 meV/atom
Uncorrected energy: -6.247 eV per atom
Fermi-level density of states: 4.593 states/eV per cell
SG: P2/m

---

Here is crystalline Pr4Ge2Cl at its relaxed geometry from Alexandria. Energies are from GGA-PBE.

Geometry as extended XYZ:
```
14
Lattice="7.533 0.000 -2.490 -3.863 6.374 -2.721 0.193 0.000 7.932" Properties=species:S:1:pos:R:3 pbc="T T T"
Pr 4.843 1.687 4.316
Pr 5.252 3.926 1.865
Pr 1.832 4.686 0.386
Pr -0.338 2.448 1.596
Pr 3.429 0.739 0.351
Pr 1.735 4.874 -3.580
Pr 1.077 1.500 5.561
Pr -2.377 5.634 0.389
Ge -0.400 5.559 2.620
Ge 2.429 2.373 2.706
Ge 6.195 0.814 1.461
Ge -0.497 4.001 -1.346
Cl 3.767 3.187 -1.245
Cl 0.000 0.000 0.000
```

Crystal system: tetragonal
Energy relative to the elements, uncorrected: -941.8 meV/atom
Uncorrected energy: -5.256 eV per atom
Fermi-level density of states: 12.927 states/eV per cell
SG: I-42d

---

Here is crystalline TmScAg6 at its relaxed geometry from Alexandria. Energies are from GGA-PBE.

Geometry as extended XYZ:
```
8
Lattice="4.093 0.000 1.117 1.894 4.697 1.117 0.006 -0.177 8.035" Properties=species:S:1:pos:R:3 pbc="T T T"
Tm 0.950 2.260 4.576
Sc 0.000 0.000 0.000
Ag 2.672 3.999 6.326
Ag 2.516 1.008 6.897
Ag 1.743 1.749 1.673
Ag 3.478 3.512 3.373
Ag 3.322 0.521 3.944
Ag 4.251 2.771 8.597
```

Crystal system: monoclinic
E_form: -202 meV/atom
Uncorrected energy: -3.691 eV per atom
Fermi-level density of states: 4.879 states/eV per cell
SG: C2/m

---

Here is crystalline RbMnIn3 at its relaxed geometry from Alexandria. Energies are from GGA-PBE.

Geometry as extended XYZ:
```
5
Lattice="6.212 0.000 0.000 0.000 6.212 0.000 0.000 0.000 6.212" Properties=species:S:1:pos:R:3 pbc="T T T"
Mn 3.106 3.106 3.106
Rb 0.000 0.000 0.000
In 0.000 3.106 0.000
In 0.000 0.000 3.106
In 3.106 0.000 0.000
```

Crystal system: cubic
Relative energy among the computed polymorphs: 1327 meV/atom
E_form: 1413 meV/atom
Uncorrected energy: -2.257 eV per atom
Fermi-level density of states: 6.000 states/eV per cell
SG: Pm-3m

---

Here is crystalline Sc4IO2 at its relaxed geometry from Alexandria. Energies are from GGA-PBE.

Geometry as extended XYZ:
```
7
Lattice="5.200 0.000 0.000 0.000 5.200 0.000 2.600 2.600 6.035" Properties=species:S:1:pos:R:3 pbc="T T T"
I 0.000 0.000 0.000
Sc 5.200 5.200 3.080
Sc 2.600 2.600 2.955
Sc 0.000 2.600 0.000
Sc 2.600 0.000 0.000
O 5.200 5.200 4.878
O 2.600 2.600 1.157
```

Crystal system: tetragonal
Energy relative to the elements, uncorrected: -814.8 meV/atom
Uncorrected energy: -6.071 eV per atom
Fermi-level density of states: 5.746 states/eV per cell
SG: I4/mmm